<one>
Compound: K2BiSb2
Source: the Alexandria database
Functional: GGA-PBE
Structure: optimized geometry

Geometry as POSCAR:
```
K2BiSb2
1.0
-2.529 2.529 7.249
2.529 -2.529 7.249
2.529 2.529 -7.249
K Bi Sb
2 1 2
Cartesian
2.529 0.000 3.624 K
0.000 2.529 3.624 K
0.000 0.000 0.000 Bi
0.000 0.000 5.906 Sb
0.000 0.000 8.592 Sb
```

Properties
Space-group type: I4/mmm
Volume: 37.1 A^3/atom
Density of states at the Fermi level: 0.86 states/eV per atom

<two>
Compound: K2BiSb2
Source: the Alexandria database
Functional: GGA-PBE
Structure: optimized geometry

Geometry as POSCAR:
```
K2BiSb2
1.0
8.175 0.000 0.000
0.000 8.175 0.000
0.000 0.000 5.502
K Bi Sb
4 2 4
Cartesian
1.442 2.646 0.000 K
2.646 6.733 0.000 K
5.529 1.442 0.000 K
6.733 5.529 0.000 K
0.000 0.000 2.751 Bi
4.087 4.087 2.751 Bi
1.011 5.098 2.751 Sb
3.076 1.011 2.751 Sb
5.098 7.163 2.751 Sb
7.163 3.076 2.751 Sb
```

Properties
Space-group type: P4/mbm
Volume: 36.8 A^3/atom
Density of states at the Fermi level: 0.43 states/eV per atom

<three>
Compound: K2BiSb2
Source: the Alexandria database
Functional: GGA-PBE
Structure: optimized geometry

Geometry as POSCAR:
```
K2BiSb2
1.0
6.368 -2.931 0.000
6.368 2.931 0.000
-5.105 0.000 10.185
K Bi Sb
4 2 4
Cartesian
-0.989 0.000 3.837 K
-0.337 0.000 8.009 K
7.969 0.000 2.176 K
8.621 0.000 6.348 K
4.250 0.000 1.455 Bi
3.382 0.000 8.731 Bi
-3.561 0.000 10.061 Sb
2.759 0.000 4.101 Sb
4.873 0.000 6.085 Sb
11.193 0.000 0.125 Sb
```

Properties
Space-group type: C2/m
Volume: 38.0 A^3/atom
Density of states at the Fermi level: 0.12 states/eV per atom

Which one is the most stable? From the structures above, <two>.